(1)
Entry from the Alexandria database: a relaxed LiYAg4 crystal (PBE).

Unit cell a=5.128 b=5.192 c=5.214 alpha=60.14 beta=84.92 gamma=79.76
Positions (direct):
Ag 0.001 0.824 0.851
Ag 0.501 0.338 0.824
Ag 0.501 0.666 0.167
Ag 0.001 0.180 0.140
Li 0.001 0.502 0.496
Y 0.501 0.002 0.495

Computed properties:
- ΔE to the lowest computed polymorph (meV per atom) = 0.0
- SG = C2/m

(2)
Entry from the Alexandria database: a relaxed Li12YAg6 crystal (PBE).

Unit cell a=7.339 b=7.339 c=7.339 alpha=101.60 beta=101.60 gamma=101.60
Positions (direct):
Li 0.445 0.445 0.172
Li 0.555 0.828 0.555
Li 0.890 0.500 0.110
Li 0.172 0.445 0.445
Li 0.890 0.110 0.500
Li 0.445 0.172 0.445
Li 0.500 0.890 0.110
Li 0.555 0.555 0.828
Li 0.110 0.500 0.890
Li 0.500 0.110 0.890
Li 0.828 0.555 0.555
Li 0.110 0.890 0.500
Ag 0.743 0.229 0.229
Ag 0.771 0.257 0.771
Ag 0.771 0.771 0.257
Ag 0.229 0.743 0.229
Ag 0.257 0.771 0.771
Ag 0.229 0.229 0.743
Y 0.000 0.000 0.000

Computed properties:
- SG = R-3m
- E_tot (eV/cell) = -47.554

(3)
Entry from the Alexandria database: a relaxed Li6Y2Ag3 crystal (PBE).

Unit cell a=3.562 b=8.618 c=8.618 alpha=120.00 beta=90.00 gamma=90.00
Positions (direct):
Y 0.000 0.333 0.667
Y 0.000 0.667 0.333
Li 0.500 0.290 0.000
Li 0.000 0.192 0.192
Li 0.500 0.710 0.710
Li 0.500 0.000 0.290
Li 0.000 0.000 0.808
Li 0.000 0.808 0.000
Ag 0.500 0.000 0.591
Ag 0.500 0.591 0.000
Ag 0.500 0.409 0.409

Computed properties:
- SG = P-62m
- E_tot (eV/cell) = -33.899

| no. | DOS(E_F) (states/eV per cell) |
| --- | --- |
| 1 | 2.84 |
| 2 | 8.51 |
| 3 | 7.86 |